KCSN: relaxed, PBE.

Cell: 6.8374 6.6966 7.7779 Å, 90.00 90.00 90.00°
Atoms (fractional coordinates):
K (0.1980, 0.2500, 0.0000)
K (0.1980, 0.2500, 0.5000)
K (0.8020, 0.7500, 0.0000)
K (0.8020, 0.7500, 0.5000)
C (0.2319, 0.7125, 0.2500)
C (0.2319, 0.7875, 0.7500)
C (0.7681, 0.2125, 0.2500)
C (0.7681, 0.2875, 0.7500)
S (0.3954, 0.6102, 0.7500)
S (0.3954, 0.8898, 0.2500)
S (0.6046, 0.1102, 0.7500)
S (0.6046, 0.3898, 0.2500)
N (0.1120, 0.5830, 0.2500)
N (0.1120, 0.9170, 0.7500)
N (0.8880, 0.0830, 0.2500)
N (0.8880, 0.4170, 0.7500)

Output
Calculated total energy: -6.1275 eV/atom
Spin magnetization: 0.000 μB per atom
Density: 1.8 Mg/m³
Raw formation energy: -0.434 eV/atom
Relative energy among the computed polymorphs: 0.000 eV/atom
Fermi-level density of states: 0.000 states/eV per cell